# K2UIr3O12

An optimized crystal structure of K2UIr3O12 (GGA-PBE, Alexandria).

```
K2UIr3O12
1.0
-4.622 1.323 -5.787
-7.403 1.008 0.883
-3.334 6.658 -1.075
K U Ir O
2 1 3 12
Direct
0.613 0.613 0.613
0.387 0.387 0.387
0.000 0.000 0.000
0.500 0.000 0.000
0.000 0.500 0.000
0.000 0.000 0.500
0.313 0.313 0.920
0.927 0.927 0.336
0.336 0.927 0.927
0.920 0.313 0.313
0.927 0.336 0.927
0.313 0.920 0.313
0.687 0.687 0.080
0.073 0.073 0.664
0.664 0.073 0.073
0.080 0.687 0.687
0.073 0.664 0.073
0.687 0.080 0.687
```

Values from the calculation:
Symmetry: No. 166
Calculated density, Mg/m³: 6.4
V, Å³ per atom: 15.75
Uncorrected energy, eV per cell: -125.40